1.
Computed, not measured: CaMnAu4 at its PBEsol-relaxed geometry at the meta-GGA SCAN level of DFT.

a b c (Å): 5.449 5.449 5.449
angles (deg): 60.00 60.00 60.00
Element x y z (fractional)
Au 0.375 0.375 0.876
Au 0.876 0.375 0.375
Mn 0.000 0.000 0.000
Ca 0.750 0.750 0.750
Au 0.375 0.876 0.375
Au 0.375 0.375 0.375

## Properties
crystal system = cubic
DFT total energy = -1.8820 hartree per atom
density = 12.81 g/cm³

***

2.
Computed, not measured: CrIr2 at its PBEsol-relaxed geometry at the meta-GGA SCAN level of DFT.

a b c (Å): 2.680 5.008 6.286
angles (deg): 103.14 90.00 105.52
Element x y z (fractional)
Ir 0.058 0.115 0.608
Ir 0.715 0.431 0.954
Cr 0.998 0.997 0.000
Cr 0.668 0.336 0.332
Ir 0.334 0.668 0.668
Ir 0.393 0.786 0.271

## Properties
crystal system = monoclinic
DFT total energy = -1.9759 hartree per atom
density = 18.35 g/cm³